AlRe2BRh | the Alexandria database | GGA-PBE | optimized geometry; space group = P4/mmm (123)
1.0
4.7133 0.0000 0.0000
0.0000 4.4862 0.0000
0.0000 0.0000 4.7133
Rh Re Al B
1 2 1 1
direct
0.0000 0.0000 0.0000
0.0000 0.0000 0.5000
0.5000 0.0000 0.0000
0.0000 0.5000 0.0000
0.5000 0.5000 0.5000



AlRe2TcB | the Alexandria database | GGA-PBE | optimized geometry; space group = P4/mmm (123)
1.0
4.0918 0.0000 0.0000
0.0000 4.1100 0.0000
0.0000 0.0000 4.0918
Re Al Tc B
2 1 1 1
direct
0.0000 0.0000 0.5000
0.5000 0.0000 0.0000
0.0000 0.5000 0.0000
0.5000 0.5000 0.5000
0.0000 0.0000 0.0000



AlB2Rh4 | the Alexandria database | GGA-PBE | optimized geometry; space group = Fddd (70)
1.0
-5.8182 0.2011 -0.3771
1.4149 -5.2463 2.1231
1.9365 4.5423 4.2941
Al Rh B
2 8 4
direct
0.2500 0.7499 0.5000
0.0000 0.9999 0.0000
0.3692 0.1547 0.8415
0.4047 0.1192 0.3416
0.3131 0.5276 0.1584
0.7777 0.0633 0.6585
0.4725 0.6872 0.8419
0.8453 0.6306 0.1582
0.8806 0.5953 0.6581
0.9370 0.2223 0.3417
0.1250 0.3751 0.7500
0.6251 0.8749 0.2502
0.6249 0.3748 0.2498
0.6250 0.3752 0.7500



AlBRh2 | the Alexandria database | GGA-PBE | optimized geometry; space group = Fm-3m (225); distance to the lowest polymorph of the same formula = 140.1 meV per atom
1.0
-2.6854 -2.3568 -1.9248
-3.9585 0.3399 0.8279
-2.5160 1.6142 -2.7450
Rh B Al
2 1 1
direct
0.2500 0.2500 0.2500
0.7500 0.7500 0.7500
0.0000 0.0000 0.0000
0.5000 0.5000 0.5000



AlBRh2 | the Alexandria database | GGA-PBE | optimized geometry; space group = P4/mmm (123); distance to the lowest polymorph of the same formula = 0.0 meV per atom
1.0
2.7590 0.0000 0.0000
0.0000 2.7590 0.0000
0.0000 0.0000 6.2061
Rh B Al
2 1 1
direct
0.0000 0.0000 0.7872
0.0000 0.0000 0.2128
0.5000 0.5000 0.0000
0.5000 0.5000 0.5000



Al3BRh | the Alexandria database | GGA-PBE | optimized geometry; space group = Pm-3m (221); distance to the lowest polymorph of the same formula = 578.6 meV per atom
1.0
-3.2974 -3.0785 1.1074
0.6297 -2.1400 -4.0743
3.2104 -2.7421 1.9365
Rh Al B
1 3 1
direct
0.0000 0.0000 0.0000
0.0000 0.0000 0.5000
0.0000 0.5000 0.0000
0.5000 0.0000 0.0000
0.5000 0.5000 0.5000



AlBRh2 | the Alexandria database | GGA-PBE | optimized geometry; space group = I-42d (122); distance to the lowest polymorph of the same formula = 65.2 meV per atom
1.0
6.3684 0.0000 0.0000
0.0000 6.3684 0.0000
3.1842 3.1842 2.5883
Rh B Al
4 2 2
direct
0.2092 0.6250 0.2500
0.8750 0.7908 0.7500
0.5408 0.1250 0.2500
0.3750 0.4592 0.7500
0.2500 0.7500 0.5000
0.5000 0.5000 0.0000
0.0000 0.0000 0.0000
0.7500 0.2500 0.5000



AlBRh2 | the Alexandria database | GGA-PBE | optimized geometry; space group = P4/mmm (123); distance to the lowest polymorph of the same formula = 128.0 meV per atom
1.0
-0.9561 1.7508 2.1441
-0.6532 -3.2041 2.3251
3.7358 0.2809 1.4366
B Rh Al
1 2 1
direct
0.5000 0.0000 0.0000
0.0000 0.0000 0.5000
0.0000 0.5000 0.0000
0.5000 0.5000 0.5000



| no. | energy of formation from the pure elements (eV per atom) | final energy (eV per cell) |
| --- | --- | --- |
| 1 | 2.355 | -30.89 |
| 2 | 0.365 | -43.86 |
| 3 | -0.298 | -97.18 |
| 4 | -0.351 | -26.53 |
| 5 | -0.491 | -27.09 |
| 6 | 0.639 | -22.06 |
| 7 | -0.426 | -53.65 |
| 8 | -0.363 | -26.57 |